1.
A relaxed VGa2Br crystal. Source: Alexandria via LeMat-Bulk, functional GGA-PBE.

Calculated values
Excess energy over the best structure of this formula in the dataset, meV per atom: 0.0
Crystal system: tetragonal
Raw formation energy, eV per atom: 0.34
Theoretical density, g cm⁻³: 4.89

Lattice parameters (Å, degrees): 6.5142 6.5142 6.5142 98.88 98.88 133.74
Last column: nearest neighbours and their distance in Å.
Positions (direct):
V: 0.0000 0.0000 0.0000  2 Br 2.56, 4 Ga 2.72
V: 0.7500 0.2500 0.5000  2 Br 2.56, 4 Ga 2.72
Ga: 0.0618 0.6250 0.9368  2 V 2.72, 2 Ga 2.77
Ga: 0.3750 0.3118 0.4368  2 V 2.72, 2 Ga 2.77
Ga: 0.6882 0.1250 0.0632  2 V 2.72, 2 Ga 2.77
Ga: 0.8750 0.9382 0.5632  2 V 2.72, 2 Ga 2.77
Br: 0.2500 0.7500 0.5000  2 V 2.56
Br: 0.5000 0.5000 0.0000  2 V 2.56



2.
A relaxed VGaBr crystal. Source: Alexandria via LeMat-Bulk, functional GGA-PBE.

Calculated values
Excess energy over the best structure of this formula in the dataset, meV per atom: 264.7
Crystal system: orthorhombic
Raw formation energy, eV per atom: 0.04
Theoretical density, g cm⁻³: 5.68

Lattice parameters (Å, degrees): 13.1626 3.2085 3.2085 60.00 90.00 90.00
Last column: nearest neighbours and their distance in Å.
Positions (direct):
V: 0.0000 0.0000 0.0000  6 Ga 2.62
V: 0.5000 0.0010 0.0010  6 Br 2.55
Ga: 0.1406 0.3331 0.3331  3 V 2.62
Ga: 0.8594 0.3331 0.3331  3 V 2.62
Br: 0.3671 0.6677 0.6677  3 V 2.55
Br: 0.6329 0.6677 0.6677  3 V 2.55



3.
A relaxed VGa2Br6 crystal. Source: Alexandria via LeMat-Bulk, functional GGA-PBE.

Calculated values
Crystal system: monoclinic
Raw formation energy, eV per atom: -0.72
Theoretical density, g cm⁻³: 3.65

Lattice parameters (Å, degrees): 9.6765 9.6765 6.8819 96.78 96.78 72.95
Last column: nearest neighbours and their distance in Å.
Positions (direct):
V: 0.0709 0.9291 0.7500  6 Br 2.57-2.77
V: 0.9291 0.0709 0.2500  6 Br 2.57-2.77
Ga: 0.3337 0.5066 0.7390  3 Br 2.40-2.52, 1 Ga 2.47
Ga: 0.4934 0.6663 0.7610  3 Br 2.40-2.52, 1 Ga 2.47
Ga: 0.5066 0.3337 0.2390  3 Br 2.40-2.52, 1 Ga 2.47
Ga: 0.6663 0.4934 0.2610  3 Br 2.40-2.52, 1 Ga 2.47
Br: 0.0152 0.1713 0.5967  2 V 2.57-2.61
Br: 0.1125 0.6539 0.8669  1 Ga 2.40
Br: 0.1713 0.0152 0.0967  2 V 2.57-2.61
Br: 0.2717 0.4073 0.3947  2 Ga 2.50-2.52
Br: 0.3461 0.8875 0.6331  1 Ga 2.40
Br: 0.4073 0.2717 0.8947  2 Ga 2.50-2.52
Br: 0.5927 0.7283 0.1053  2 Ga 2.50-2.52
Br: 0.6539 0.1125 0.3669  1 Ga 2.40
Br: 0.7283 0.5927 0.6053  2 Ga 2.50-2.52
Br: 0.8287 0.9848 0.9033  2 V 2.57-2.61
Br: 0.8875 0.3461 0.1331  1 Ga 2.40
Br: 0.9848 0.8287 0.4033  2 V 2.57-2.61



4.
A relaxed VGaBr crystal. Source: Alexandria via LeMat-Bulk, functional GGA-PBE.

Calculated values
Excess energy over the best structure of this formula in the dataset, meV per atom: 46.0
Crystal system: triclinic
Raw formation energy, eV per atom: -0.18
Theoretical density, g cm⁻³: 4.69

Lattice parameters (Å, degrees): 3.3114 4.7636 9.7725 92.16 99.12 110.33
Last column: nearest neighbours and their distance in Å.
Positions (direct):
V: 0.0000 0.0000 0.0000  2 Br 2.52, 2 V 2.61, 3 Ga 2.72-2.76
V: 0.3161 0.8188 0.7995  5 Ga 2.57-2.71, 2 V 2.61, 1 Br 2.71
Ga: 0.6564 0.4132 0.8918  6 V 2.67-2.76, 2 Ga 2.72
Ga: 0.9372 0.1646 0.6887  1 Br 2.42, 2 V 2.57
Br: 0.0610 0.5580 0.5336  1 Ga 2.42, 1 V 2.71
Br: 0.5560 0.9328 0.1911  2 V 2.52